MoC2BrF (GGA+U, relaxed); raw total energy = -3.567 eV per atom
1.0
3.9598 0.0000 0.0000
0.0000 3.9598 0.0000
0.0000 0.0000 4.6598
Mo C Br F
1 2 1 1
direct
0.0000 0.0000 0.0000
0.0000 0.5000 0.5000
0.5000 0.0000 0.5000
0.5000 0.5000 0.5000
0.5000 0.5000 0.0000